1.
VASP calculation (GGA-PBE) on BeSN2 after structural relaxation.

It has space group Fm-3m (No. 225), with a = 5.1505 Å, b = 5.1505 Å, c = 5.1505 Å, α = 90.00°, β = 90.00° and γ = 90.00°. Symmetry generates all atoms from Be at (0.0000, 0.0000, 0.0000), S at (0.0000, 0.0000, 0.5000) and N at (0.2500, 0.2500, 0.2500).

2.
VASP calculation (GGA-PBE) on BeSN2 after structural relaxation.

It has space group I-42d (No. 122), with a = 4.0956 Å, b = 4.0956 Å, c = 9.2875 Å, α = 90.00°, β = 90.00° and γ = 90.00°. Symmetry generates all atoms from Be at (0.0000, 0.0000, 0.0000), S at (0.0000, 0.0000, 0.5000) and N at (0.2274, 0.2500, 0.1250).

3.
VASP calculation (GGA-PBE) on BeSN2 after structural relaxation.

It has space group R-3m (No. 166, hexagonal axes), with a = 2.8656 Å, b = 2.8656 Å, c = 15.3269 Å, α = 90.00°, β = 90.00° and γ = 120.00°. Symmetry generates all atoms from Be at (0.0000, 0.0000, 0.0000), S at (0.0000, 0.0000, 0.5000) and N at (0.0000, 0.0000, 0.3955).

Verdict on stability: 3 comes out on top.

1.
VASP calculation (GGA-PBE) on BeS2N2 after structural relaxation.

It has space group P4/mmm (No. 123), with a = 3.2681 Å, b = 3.2681 Å, c = 7.6208 Å, α = 90.00°, β = 90.00° and γ = 90.00°. Symmetry generates all atoms from Be at (0.0000, 0.0000, 0.0000), S at (0.0000, 0.0000, 0.5000), S at (0.5000, 0.5000, 0.5000) and N at (0.0000, 0.5000, 0.0000).

2.
VASP calculation (GGA-PBE) on BeS2N2 after structural relaxation.

It has space group P4/mmm (No. 123), with a = 3.9267 Å, b = 3.9267 Å, c = 3.6306 Å, α = 90.00°, β = 90.00° and γ = 90.00°. Symmetry generates all atoms from Be at (0.0000, 0.0000, 0.0000), S at (0.0000, 0.5000, 0.5000), N at (0.5000, 0.5000, 0.0000) and N at (0.5000, 0.5000, 0.5000).

Verdict on stability: 1 comes out on top.

1.
VASP calculation (GGA-PBE) on BeS2N2 after structural relaxation.

It has space group P4/mmm (No. 123), with a = 3.2634 Å, b = 3.2634 Å, c = 7.4380 Å, α = 90.00°, β = 90.00° and γ = 90.00°. Symmetry generates all atoms from Be at (0.0000, 0.0000, 0.0000), S at (0.5000, 0.5000, 0.0000), S at (0.5000, 0.5000, 0.5000) and N at (0.0000, 0.5000, 0.5000).

2.
VASP calculation (GGA-PBE) on BeS2N2 after structural relaxation.

It has space group P4/mmm (No. 123), with a = 4.3880 Å, b = 4.3880 Å, c = 3.0905 Å, α = 90.00°, β = 90.00° and γ = 90.00°. Symmetry generates all atoms from Be at (0.0000, 0.0000, 0.0000), S at (0.0000, 0.5000, 0.0000), N at (0.0000, 0.0000, 0.5000) and N at (0.5000, 0.5000, 0.5000).

Verdict on stability: 1 comes out on top.

1.
VASP calculation (GGA-PBE) on BeS2N after structural relaxation.

It has space group Fm-3m (No. 225), with a = 5.6983 Å, b = 5.6983 Å, c = 5.6983 Å, α = 90.00°, β = 90.00° and γ = 90.00°. Symmetry generates all atoms from Be at (0.0000, 0.0000, 0.0000), S at (0.2500, 0.2500, 0.2500) and N at (0.0000, 0.0000, 0.5000).

2.
VASP calculation (GGA-PBE) on BeS2N after structural relaxation.

It has space group R-3m (No. 166, hexagonal axes), with a = 3.3960 Å, b = 3.3960 Å, c = 16.3350 Å, α = 90.00°, β = 90.00° and γ = 120.00°. Symmetry generates all atoms from Be at (0.0000, 0.0000, 0.0000), S at (0.0000, 0.0000, 0.4043) and N at (0.0000, 0.0000, 0.5000).

Verdict on stability: 2 comes out on top.

1.
VASP calculation (GGA-PBE) on BeSbS2N after structural relaxation.

It has space group P4/mmm (No. 123), with a = 5.0510 Å, b = 5.0510 Å, c = 3.8671 Å, α = 90.00°, β = 90.00° and γ = 90.00°. Symmetry generates all atoms from Be at (0.0000, 0.0000, 0.0000), Sb at (0.5000, 0.5000, 0.5000), S at (0.0000, 0.5000, 0.5000) and N at (0.5000, 0.5000, 0.0000).

2.
VASP calculation (GGA-PBE) on BeSbS2N after structural relaxation.

It has space group P4/mmm (No. 123), with a = 4.7547 Å, b = 4.7547 Å, c = 3.3477 Å, α = 90.00°, β = 90.00° and γ = 90.00°. Symmetry generates all atoms from Be at (0.0000, 0.0000, 0.0000), Sb at (0.5000, 0.5000, 0.5000), S at (0.0000, 0.5000, 0.0000) and N at (0.0000, 0.0000, 0.5000).

Verdict on stability: 2 comes out on top.

1.
VASP calculation (GGA-PBE) on ScBeS2N after structural relaxation.

It has space group P4/mmm (No. 123), with a = 4.5561 Å, b = 4.5561 Å, c = 3.3075 Å, α = 90.00°, β = 90.00° and γ = 90.00°. Symmetry generates all atoms from Sc at (0.0000, 0.0000, 0.0000), Be at (0.5000, 0.5000, 0.5000), S at (0.0000, 0.5000, 0.5000) and N at (0.5000, 0.5000, 0.0000).

2.
VASP calculation (GGA-PBE) on ScBeS2N after structural relaxation.

It has space group P4/mmm (No. 123), with a = 4.9562 Å, b = 4.9562 Å, c = 4.0824 Å, α = 90.00°, β = 90.00° and γ = 90.00°. Symmetry generates all atoms from Sc at (0.0000, 0.0000, 0.0000), Be at (0.5000, 0.5000, 0.5000), S at (0.0000, 0.5000, 0.0000) and N at (0.0000, 0.0000, 0.5000).

Verdict on stability: 1 comes out on top.

1.
VASP calculation (GGA-PBE) on ScBeSN2 after structural relaxation.

It has space group P4/mmm (No. 123), with a = 3.9399 Å, b = 3.9399 Å, c = 5.4170 Å, α = 90.00°, β = 90.00° and γ = 90.00°. Symmetry generates all atoms from Sc at (0.0000, 0.0000, 0.0000), Be at (0.5000, 0.5000, 0.5000), S at (0.0000, 0.0000, 0.5000) and N at (0.0000, 0.5000, 0.0000).

2.
VASP calculation (GGA-PBE) on ScBeSN2 after structural relaxation.

It has space group P4/mmm (No. 123), with a = 3.5039 Å, b = 3.5039 Å, c = 4.7946 Å, α = 90.00°, β = 90.00° and γ = 90.00°. Symmetry generates all atoms from Sc at (0.0000, 0.0000, 0.0000), Be at (0.5000, 0.5000, 0.5000), S at (0.5000, 0.5000, 0.0000) and N at (0.0000, 0.5000, 0.5000).

Verdict on stability: 2 comes out on top.